# SCAN BaSrCo, PBEsol geometry
# - ΔH_f (0 K) (eV/f.u.) = 2.91
# - electronic total energy (eV for the cell shown) = -304.86
# - DOS at the Fermi energy (states/eV/f.u.) = 2.82
data_BaSrCo
_chemical_formula_sum 'Ba4 Sr4 Co4'
_space_group_name_H-M_alt 'F -4 3 m'
_space_group_IT_number 216
_space_group_name_Hall 'F -4 2 3'
_cell_length_a 7.259
_cell_length_b 7.259
_cell_length_c 7.259
_cell_angle_alpha 90.00
_cell_angle_beta 90.00
_cell_angle_gamma 90.00
loop_
_atom_site_label
_atom_site_fract_x
_atom_site_fract_y
_atom_site_fract_z
_atom_site_occupancy
Ba1 0.000 0.000 0.000 1
Sr1 0.250 0.250 0.750 1
Co1 0.000 0.000 0.500 1

***

# SCAN Mg4Se3S, PBEsol geometry
# - electronic total energy (eV for the cell shown) = -304.99
# - DOS at the Fermi energy (states/eV/f.u.) = 0.00
# - ΔE_f (raw) (eV per atom) = -1.49
data_Mg4Se3S
_chemical_formula_sum 'Mg12 Se9 S3'
_space_group_name_H-M_alt 'R 3 m'
_space_group_IT_number 160
_space_group_name_Hall 'R 3 -2"'
_cell_length_a 4.1451
_cell_length_b 4.1451
_cell_length_c 40.7482
_cell_angle_alpha 90.00
_cell_angle_beta 90.00
_cell_angle_gamma 120.00
loop_
_atom_site_label
_atom_site_fract_x
_atom_site_fract_y
_atom_site_fract_z
_atom_site_occupancy
Mg1 0.0000 0.0000 0.0000 1
Mg2 0.0000 0.0000 0.2481 1
Mg3 0.0000 0.0000 0.4963 1
Mg4 0.0000 0.0000 0.7445 1
Se1 0.0000 0.0000 0.1850 1
Se2 0.0000 0.0000 0.4332 1
Se3 0.0000 0.0000 0.9369 1
S1 0.0000 0.0000 0.6844 1

***

# SCAN Bi2RuI, PBEsol geometry
# - electronic total energy (eV for the cell shown) = -898.96
# - DOS at the Fermi energy (states/eV/f.u.) = 3.13
# - ΔE_f (raw) (eV per atom) = 1.00
data_Bi2RuI
_chemical_formula_sum 'Bi8 Ru4 I4'
_space_group_name_H-M_alt 'F m -3 m'
_space_group_IT_number 225
_space_group_name_Hall '-F 4 2 3'
_cell_length_a 7.306
_cell_length_b 7.306
_cell_length_c 7.306
_cell_angle_alpha 90.00
_cell_angle_beta 90.00
_cell_angle_gamma 90.00
loop_
_atom_site_label
_atom_site_fract_x
_atom_site_fract_y
_atom_site_fract_z
_atom_site_occupancy
Bi1 0.250 0.250 0.250 1
Ru1 0.000 0.000 0.000 1
I1 0.000 0.000 0.500 1

***

# SCAN TiInFeI2, PBEsol geometry
# - electronic total energy (eV for the cell shown) = -138.06
# - DOS at the Fermi energy (states/eV/f.u.) = 3.48
# - ΔE_f (raw) (eV per atom) = 0.59
data_TiInFeI2
_chemical_formula_sum 'Ti1 In1 Fe1 I2'
_space_group_name_H-M_alt 'P 4/m m m'
_space_group_IT_number 123
_space_group_name_Hall '-P 4 2'
_cell_length_a 5.267
_cell_length_b 5.267
_cell_length_c 5.579
_cell_angle_alpha 90.00
_cell_angle_beta 90.00
_cell_angle_gamma 90.00
loop_
_atom_site_label
_atom_site_fract_x
_atom_site_fract_y
_atom_site_fract_z
_atom_site_occupancy
Ti1 0.000 0.000 0.000 1
In1 0.000 0.000 0.500 1
Fe1 0.500 0.500 0.500 1
I1 0.000 0.500 0.000 1

***

Q: Look up the electronic total energy of the fourth one.
A: -138.06 eV for the cell shown